# 1
DFT (PBE) results for an optimized crystal structure of Tc2SbP2.

Output
Formation energy without anion corrections in meV/atom: -146
SG: I4/mmm
V in Å³/cell: 82
D(E_F) in states/eV/cell: 2.67

a b c (Å): 6.5535 6.5535 6.5535
angles (deg): 147.30 147.30 46.91
Closest atoms and distances in Å follow each position.
Element x y z (fractional)
Tc (0.1256, 0.1256, 0.0000)  4 P 2.37
Tc (0.8744, 0.8744, 0.0000)  4 P 2.37
Sb (0.5000, 0.5000, 0.0000)  8 Tc 3.01
P (0.2500, 0.7500, 0.5000)  4 Tc 2.37, 4 P 2.61
P (0.7500, 0.2500, 0.5000)  4 Tc 2.37, 4 P 2.61

=====

# 2
DFT (PBE) results for an optimized crystal structure of TcSb2P.

Output
Formation energy without anion corrections in meV/atom: 497
SG: C2/m
V in Å³/cell: 80
D(E_F) in states/eV/cell: 2.62

a b c (Å): 4.8526 4.8526 5.2639
angles (deg): 99.62 99.62 40.91
Closest atoms and distances in Å follow each position.
Element x y z (fractional)
Tc (0.0000, 0.0000, 0.0000)  6 Sb 2.78-2.95
Sb (0.2722, 0.2722, 0.7686)  1 P 2.71, 3 Tc 2.78-2.95
Sb (0.7278, 0.7278, 0.2314)  1 P 2.71, 3 Tc 2.78-2.95
P (0.5000, 0.5000, 0.5000)  2 Sb 2.71

=====

# 3
DFT (PBE) results for an optimized crystal structure of TcSb2P.

Output
Formation energy without anion corrections in meV/atom: 515
SG: I-42d
V in Å³/cell: 217
D(E_F) in states/eV/cell: 2.96

a b c (Å): 7.2482 7.2482 7.2482
angles (deg): 130.16 130.16 73.15
Closest atoms and distances in Å follow each position.
Element x y z (fractional)
Tc (0.0000, 0.0000, 0.0000)  4 Sb 2.56
Tc (0.7500, 0.2500, 0.5000)  4 Sb 2.56
Sb (0.1139, 0.6250, 0.9889)  2 Tc 2.56, 2 P 2.64
Sb (0.3750, 0.3639, 0.4889)  2 Tc 2.56, 2 P 2.64
Sb (0.6361, 0.1250, 0.0111)  2 Tc 2.56, 2 P 2.64
Sb (0.8750, 0.8861, 0.5111)  2 Tc 2.56, 2 P 2.64
P (0.2500, 0.7500, 0.5000)  4 Sb 2.64
P (0.5000, 0.5000, 0.0000)  4 Sb 2.64

=====

# 4
DFT (PBE) results for an optimized crystal structure of TcSb2TeP.

Output
Formation energy without anion corrections in meV/atom: 756
SG: P4/mmm
V in Å³/cell: 134
D(E_F) in states/eV/cell: 3.66

a b c (Å): 5.1589 5.1589 5.0314
angles (deg): 90.00 90.00 90.00
Closest atoms and distances in Å follow each position.
Element x y z (fractional)
Tc (0.0000, 0.0000, 0.0000)  2 Te 2.52, 4 Sb 2.58
Sb (0.0000, 0.5000, 0.0000)  2 Tc 2.58
Sb (0.5000, 0.0000, 0.0000)  2 Tc 2.58
Te (0.0000, 0.0000, 0.5000)  2 Tc 2.52
P (0.5000, 0.5000, 0.5000)  8 Sb 3.60, 4 Te 3.65

=====

# 5
DFT (PBE) results for an optimized crystal structure of TcSb2TeP.

Output
Formation energy without anion corrections in meV/atom: 1147
SG: P4/mmm
V in Å³/cell: 135
D(E_F) in states/eV/cell: 3.65

a b c (Å): 5.0847 5.0847 5.2238
angles (deg): 90.00 90.00 90.00
Closest atoms and distances in Å follow each position.
Element x y z (fractional)
Tc (0.0000, 0.0000, 0.0000)  4 Te 3.60, 8 Sb 3.64
Sb (0.0000, 0.5000, 0.5000)  2 P 2.54
Sb (0.5000, 0.0000, 0.5000)  2 P 2.54
Te (0.5000, 0.5000, 0.0000)  2 P 2.61
P (0.5000, 0.5000, 0.5000)  4 Sb 2.54, 2 Te 2.61

=====

# 6
DFT (PBE) results for an optimized crystal structure of Sb2TeP.

Output
Formation energy without anion corrections in meV/atom: 154
SG: R3m
V in Å³/cell: 107
D(E_F) in states/eV/cell: 1.64

a b c (Å): 7.6388 7.6388 7.6388
angles (deg): 31.36 31.36 31.36
Closest atoms and distances in Å follow each position.
Element x y z (fractional)
Sb (0.0000, 0.0000, 0.0000)  3 P 2.78
Sb (0.2375, 0.2375, 0.2375)  3 Te 3.06, 3 Sb 3.17
Te (0.4830, 0.4830, 0.4830)  3 P 3.01, 3 Sb 3.06
P (0.7319, 0.7319, 0.7319)  3 Sb 2.78, 3 Te 3.01

=====

# 7
DFT (PBE) results for an optimized crystal structure of Sb2TeP.

Output
Formation energy without anion corrections in meV/atom: 259
SG: I-42d
V in Å³/cell: 231
D(E_F) in states/eV/cell: 4.50

a b c (Å): 6.6988 6.6988 6.6988
angles (deg): 110.35 110.35 107.72
Closest atoms and distances in Å follow each position.
Element x y z (fractional)
Sb (0.0840, 0.6250, 0.9590)  2 P 2.68
Sb (0.3750, 0.3340, 0.4590)  2 P 2.68
Sb (0.6660, 0.1250, 0.0410)  2 P 2.68
Sb (0.8750, 0.9160, 0.5410)  2 P 2.68
Te (0.2500, 0.7500, 0.5000)  4 Sb 3.10
Te (0.5000, 0.5000, 0.0000)  4 Sb 3.10
P (0.0000, 0.0000, 0.0000)  4 Sb 2.68
P (0.7500, 0.2500, 0.5000)  4 Sb 2.68

=====

# 8
DFT (PBE) results for an optimized crystal structure of SbTeP2.

Output
Formation energy without anion corrections in meV/atom: 594
SG: Pmmm
V in Å³/cell: 93
D(E_F) in states/eV/cell: 3.29

a b c (Å): 3.8211 3.9020 6.2535
angles (deg): 90.00 90.00 90.00
Closest atoms and distances in Å follow each position.
Element x y z (fractional)
Sb (0.0000, 0.0000, 0.0000)  4 P 2.73
Te (0.0000, 0.5000, 0.5000)  4 P 2.73
P (0.5000, 0.0000, 0.5000)  4 Te 2.73
P (0.5000, 0.5000, 0.0000)  4 Sb 2.73

=====

# 9
DFT (PBE) results for an optimized crystal structure of Sb2TeP.

Output
Formation energy without anion corrections in meV/atom: 169
SG: Cm
V in Å³/cell: 118
D(E_F) in states/eV/cell: 1.05

a b c (Å): 7.7562 7.7562 4.2364
angles (deg): 102.92 102.92 28.46
Closest atoms and distances in Å follow each position.
Element x y z (fractional)
Sb (0.0000, 0.0000, 0.0000)  2 Te 2.88, 2 P 3.04, 1 Sb 3.12
Sb (0.1816, 0.1816, 0.7644)  2 P 2.58
Te (0.3997, 0.3997, 0.5445)  2 Sb 2.88
P (0.6483, 0.6483, 0.3450)  2 Sb 2.58

=====

# 10
DFT (PBE) results for an optimized crystal structure of Sb2TeP2.

Output
Formation energy without anion corrections in meV/atom: 318
SG: I4/mmm
V in Å³/cell: 126
D(E_F) in states/eV/cell: 1.97

a b c (Å): 7.6056 7.6056 7.6056
angles (deg): 147.62 147.62 46.45
Closest atoms and distances in Å follow each position.
Element x y z (fractional)
Sb (0.1249, 0.1249, 0.0000)  4 P 2.75
Sb (0.8751, 0.8751, 0.0000)  4 P 2.75
Te (0.5000, 0.5000, 0.0000)  8 Sb 3.47
P (0.2500, 0.7500, 0.5000)  4 Sb 2.75, 4 P 3.00
P (0.7500, 0.2500, 0.5000)  4 Sb 2.75, 4 P 3.00

=====

# 11
DFT (PBE) results for an optimized crystal structure of SbTeP2.

Output
Formation energy without anion corrections in meV/atom: 499
SG: Cmm2
V in Å³/cell: 106
D(E_F) in states/eV/cell: 2.33

a b c (Å): 3.8170 3.8170 8.8227
angles (deg): 90.00 90.00 124.66
Closest atoms and distances in Å follow each position.
Element x y z (fractional)
Sb (0.0000, 0.0000, 0.0000)  2 P 2.55
Te (0.5000, 0.5000, 0.3975)  2 P 2.55
P (0.0000, 0.0000, 0.6046)  2 P 2.42, 2 Te 2.55
P (0.5000, 0.5000, 0.7916)  2 P 2.42, 2 Sb 2.55

=====

# 12
DFT (PBE) results for an optimized crystal structure of SbTeP2.

Output
Formation energy without anion corrections in meV/atom: 228
SG: C2/m
V in Å³/cell: 90
D(E_F) in states/eV/cell: 1.90

a b c (Å): 3.9997 3.9997 6.8861
angles (deg): 107.58 107.58 61.26
Closest atoms and distances in Å follow each position.
Element x y z (fractional)
Sb (0.0000, 0.0000, 0.0000)  6 P 2.80
Te (0.5000, 0.5000, 0.5000)  6 P 2.86
P (0.2521, 0.2521, 0.7581)  3 Sb 2.80, 3 Te 2.86
P (0.7479, 0.7479, 0.2419)  3 Sb 2.80, 3 Te 2.86

=====

# 13
DFT (PBE) results for an optimized crystal structure of Sb2TeP.

Output
Formation energy without anion corrections in meV/atom: 174
SG: P4mm
V in Å³/cell: 116
D(E_F) in states/eV/cell: 2.19

a b c (Å): 4.2273 4.2273 6.4969
angles (deg): 90.00 90.00 90.00
Closest atoms and distances in Å follow each position.
Element x y z (fractional)
Sb (0.0000, 0.0000, 0.0000)  4 P 2.99, 2 Te 3.24-3.25
Sb (0.5000, 0.5000, 0.4169)  1 P 2.55
Te (0.0000, 0.0000, 0.4994)  6 Sb 3.04-3.25
P (0.5000, 0.5000, 0.0239)  1 Sb 2.55

=====

# 14
DFT (PBE) results for an optimized crystal structure of Sb2TeP.

Output
Formation energy without anion corrections in meV/atom: 320
SG: P4mm
V in Å³/cell: 105
D(E_F) in states/eV/cell: 2.16

a b c (Å): 3.5847 3.5847 8.1791
angles (deg): 90.00 90.00 90.00
Closest atoms and distances in Å follow each position.
Element x y z (fractional)
Sb (0.0000, 0.0000, 0.0000)  4 P 2.76
Sb (0.5000, 0.5000, 0.3174)  4 Te 3.09
Te (0.0000, 0.0000, 0.5329)  4 Sb 3.09
P (0.5000, 0.5000, 0.8678)  4 Sb 2.76

=====

# 15
DFT (PBE) results for an optimized crystal structure of Sb2TeP.

Output
Formation energy without anion corrections in meV/atom: 428
SG: P4/mmm
V in Å³/cell: 98
D(E_F) in states/eV/cell: 2.58

a b c (Å): 5.2175 5.2175 3.6071
angles (deg): 90.00 90.00 90.00
Closest atoms and distances in Å follow each position.
Element x y z (fractional)
Sb (0.0000, 0.5000, 0.0000)  4 Te 3.17, 4 P 3.17
Sb (0.5000, 0.0000, 0.0000)  4 Te 3.17, 4 P 3.17
Te (0.0000, 0.0000, 0.5000)  8 Sb 3.17
P (0.5000, 0.5000, 0.5000)  8 Sb 3.17

=====

# 16
DFT (PBE) results for an optimized crystal structure of SbTeP.

Output
Formation energy without anion corrections in meV/atom: 398
SG: P4/nmm
V in Å³/cell: 146
D(E_F) in states/eV/cell: 4.96

a b c (Å): 3.6685 3.6685 10.8129
angles (deg): 90.00 90.00 90.00
Closest atoms and distances in Å follow each position.
Element x y z (fractional)
Sb (0.2500, 0.2500, 0.0958)  4 Te 3.19, 4 Sb 3.32
Sb (0.7500, 0.7500, 0.9042)  4 Te 3.19, 4 Sb 3.32
Te (0.2500, 0.2500, 0.7322)  4 P 3.11, 4 Sb 3.19
Te (0.7500, 0.7500, 0.2678)  4 P 3.11, 4 Sb 3.19
P (0.2500, 0.7500, 0.5000)  4 P 2.59
P (0.7500, 0.2500, 0.5000)  4 P 2.59

=====

# 17
DFT (PBE) results for an optimized crystal structure of SbTeP.

Output
Formation energy without anion corrections in meV/atom: 390
SG: I4mm
V in Å³/cell: 73
D(E_F) in states/eV/cell: 1.25

a b c (Å): 6.1688 6.1688 6.1688
angles (deg): 145.90 145.90 49.00
Closest atoms and distances in Å follow each position.
Element x y z (fractional)
Sb (0.0000, 0.0000, 0.0000)  4 P 2.77
Te (0.2854, 0.2854, 0.0000)  5 Sb 3.20-3.51, 5 P 3.33-3.48
P (0.5950, 0.5950, 0.0000)  4 Sb 2.77

=====

# 18
DFT (PBE) results for an optimized crystal structure of SbTeP.

Output
Formation energy without anion corrections in meV/atom: 170
SG: P3m1
V in Å³/cell: 77
D(E_F) in states/eV/cell: 2.01

a b c (Å): 4.1260 4.1260 5.2035
angles (deg): 90.00 90.00 120.00
Closest atoms and distances in Å follow each position.
Element x y z (fractional)
Sb (0.0000, 0.0000, 0.0000)  3 P 2.79
Te (0.3333, 0.6667, 0.3887)  3 P 2.95, 3 Sb 3.13
P (0.6667, 0.3333, 0.7224)  3 Sb 2.79, 3 Te 2.95

=====

# 19
DFT (PBE) results for an optimized crystal structure of Sb3TeP.

Output
Formation energy without anion corrections in meV/atom: 1318
SG: Pm-3m
V in Å³/cell: 182
D(E_F) in states/eV/cell: 5.56

a b c (Å): 5.6713 5.6713 5.6713
angles (deg): 90.00 90.00 90.00
Closest atoms and distances in Å follow each position.
Element x y z (fractional)
Sb (0.0000, 0.0000, 0.5000)  2 Te 2.84
Sb (0.0000, 0.5000, 0.0000)  2 Te 2.84
Sb (0.5000, 0.0000, 0.0000)  2 Te 2.84
Te (0.0000, 0.0000, 0.0000)  6 Sb 2.84
P (0.5000, 0.5000, 0.5000)  12 Sb 4.01

=====

# 20
DFT (PBE) results for an optimized crystal structure of Sb2TeP.

Output
Formation energy without anion corrections in meV/atom: 226
SG: I4/mmm
V in Å³/cell: 109
D(E_F) in states/eV/cell: 2.30

a b c (Å): 5.2182 5.2182 5.2182
angles (deg): 108.90 108.90 110.63
Closest atoms and distances in Å follow each position.
Element x y z (fractional)
Sb (0.0000, 0.5000, 0.5000)  2 Sb 2.97, 2 Te 3.03, 2 P 3.03
Sb (0.5000, 0.0000, 0.5000)  2 Sb 2.97, 2 Te 3.03, 2 P 3.03
Te (0.0000, 0.0000, 0.0000)  2 P 2.97, 4 Sb 3.03
P (0.5000, 0.5000, 0.0000)  2 Te 2.97, 4 Sb 3.03